Entry 1:
3
Lattice="3.217 0.000 0.000 0.000 3.217 0.000 -1.608 -1.608 6.127" Properties=species:S:1:pos:R:3 comment="PuMgPd, optimized geometry, DFT PBE" total_magnetization_mub_per_fu=5.839 ef_mev_per_atom=-325 spacegroup=I4mm pbc="T T T"
Mg 0.000 0.000 3.833
Pd 1.608 1.608 5.346
Pu 1.608 1.608 1.237


Entry 2:
6
Lattice="2.259 -3.913 0.000 2.259 3.913 0.000 0.000 0.000 4.041" Properties=species:S:1:pos:R:3 comment="Mn5Fe, optimized geometry, DFT PBE" total_magnetization_mub_per_fu=1.446 ef_mev_per_atom=417 spacegroup=P6/mmm pbc="T T T"
Mn 2.259 1.304 0.000
Mn 2.259 -1.304 0.000
Mn 1.130 -1.957 2.020
Mn 1.130 1.957 2.020
Mn 2.259 0.000 2.020
Fe 0.000 0.000 0.000


> Number 2 is which compound?

Mn5Fe